# 1
! Ba3PrNd3Se8 GGA-PBE optimized geometry; values from VASP
&SYSTEM
  ibrav = 0, nat = 15, ntyp = 4
/
ATOMIC_SPECIES
Ba 137.33 Ba.upf
Pr 140.91 Pr.upf
Nd 144.24 Nd.upf
Se 78.96 Se.upf
ATOMIC_POSITIONS crystal
Ba 0.0000 0.0000 0.0000
Ba 0.0000 0.5000 0.0000
Ba 0.5000 0.5000 0.0000
Pr 0.0000 0.0000 0.5000
Nd 0.5000 0.0000 0.5000
Nd 0.5000 0.5000 0.5000
Nd 0.0000 0.5000 0.5000
Se 0.2589 0.5178 0.2770
Se 0.7411 0.4822 0.7230
Se 0.7589 0.5178 0.2794
Se 0.2411 0.4822 0.7206
Se 0.7587 0.0209 0.2801
Se 0.2413 0.9791 0.7199
Se 0.2621 0.0209 0.2801
Se 0.7379 0.9791 0.7199
CELL_PARAMETERS angstrom
-6.7700 -2.4135 -4.8748
7.9649 -2.9020 -1.8888
-4.1627 -3.2346 7.3826
! Density of states at the Fermi level   3.91 states/eV per cell
! Uncorrected formation energy   -1.936 eV per atom
! Symmetry   R-3m, No. 166

# 2
! BaPr2NdSe4 GGA-PBE optimized geometry; values from VASP
&SYSTEM
  ibrav = 0, nat = 8, ntyp = 4
/
ATOMIC_SPECIES
Ba 137.33 Ba.upf
Pr 140.91 Pr.upf
Nd 144.24 Nd.upf
Se 78.96 Se.upf
ATOMIC_POSITIONS crystal
Ba 0.0000 0.5000 0.5000
Pr 0.0000 0.0000 0.0000
Pr 0.5000 0.0000 0.5000
Nd 0.5000 0.5000 0.0000
Se 0.0000 0.7547 0.7589
Se 0.0000 0.2453 0.2411
Se 0.5000 0.7638 0.2340
Se 0.5000 0.2362 0.7660
CELL_PARAMETERS angstrom
-1.9126 3.3852 -1.8743
-4.9983 0.3111 5.6622
2.7103 4.5315 5.4186
! Density of states at the Fermi level   3.40 states/eV per cell
! Uncorrected formation energy   -1.848 eV per atom
! Symmetry   P2/m, No. 10

# 3
! BaPr4NdSe8 GGA-PBE optimized geometry; values from VASP
&SYSTEM
  ibrav = 0, nat = 14, ntyp = 4
/
ATOMIC_SPECIES
Ba 137.33 Ba.upf
Pr 140.91 Pr.upf
Nd 144.24 Nd.upf
Se 78.96 Se.upf
ATOMIC_POSITIONS crystal
Ba 0.3753 0.3753 0.8740
Pr 0.6247 0.6247 0.1258
Pr 0.0015 0.4954 0.5015
Pr 0.4954 0.0015 0.5015
Pr 0.0015 0.0015 0.5015
Nd 0.0016 0.0016 0.9951
Se 0.2337 0.7960 0.7366
Se 0.7960 0.2337 0.7366
Se 0.2337 0.2337 0.7366
Se 0.2349 0.2349 0.2952
Se 0.7587 0.2268 0.2559
Se 0.2268 0.7587 0.2559
Se 0.7587 0.7587 0.2559
Se 0.7574 0.7574 0.7279
CELL_PARAMETERS angstrom
8.9079 0.0000 0.0000
4.4540 7.7145 0.0000
4.4540 2.5715 7.2517
! Density of states at the Fermi level   4.23 states/eV per cell
! Uncorrected formation energy   -1.795 eV per atom
! Symmetry   R3m, No. 160

# 4
! Ba2PrNdSe4 GGA-PBE optimized geometry; values from VASP
&SYSTEM
  ibrav = 0, nat = 8, ntyp = 4
/
ATOMIC_SPECIES
Ba 137.33 Ba.upf
Pr 140.91 Pr.upf
Nd 144.24 Nd.upf
Se 78.96 Se.upf
ATOMIC_POSITIONS crystal
Ba 0.5000 0.0000 0.5000
Ba 0.0000 0.5000 0.5000
Pr 0.5000 0.5000 0.0000
Nd 0.0000 0.0000 0.0000
Se 0.5000 0.2399 0.2233
Se 0.5000 0.7601 0.7767
Se 0.0000 0.2569 0.7758
Se 0.0000 0.7431 0.2242
CELL_PARAMETERS angstrom
-4.1975 -1.3516 -0.0453
1.7448 -5.5824 4.8859
-2.1052 6.4007 4.0852
! Density of states at the Fermi level   3.92 states/eV per cell
! Uncorrected formation energy   -1.918 eV per atom
! Symmetry   P2/m, No. 10

# 5
! Ba3PrNd2Te6 GGA-PBE optimized geometry; values from VASP
&SYSTEM
  ibrav = 0, nat = 12, ntyp = 4
/
ATOMIC_SPECIES
Ba 137.33 Ba.upf
Pr 140.91 Pr.upf
Nd 144.24 Nd.upf
Te 127.60 Te.upf
ATOMIC_POSITIONS crystal
Ba 0.1662 0.8338 0.5000
Ba 0.8338 0.1662 0.5000
Ba 0.5000 0.5000 0.5000
Pr 0.0000 0.0000 0.0000
Nd 0.3333 0.6667 0.0000
Nd 0.6667 0.3333 0.0000
Te 0.9249 0.5900 0.7745
Te 0.7402 0.7402 0.2252
Te 0.0751 0.4100 0.2255
Te 0.5900 0.9249 0.7745
Te 0.2598 0.2598 0.7748
Te 0.4100 0.0751 0.2255
CELL_PARAMETERS angstrom
-5.9509 -1.0342 -5.3824
0.5369 -4.9029 6.4130
-2.8018 6.8956 3.8027
! Density of states at the Fermi level   5.65 states/eV per cell
! Uncorrected formation energy   -1.584 eV per atom
! Symmetry   C2/m, No. 12

# 6
! Ba3Pr3NdTe8 GGA-PBE optimized geometry; values from VASP
&SYSTEM
  ibrav = 0, nat = 15, ntyp = 4
/
ATOMIC_SPECIES
Ba 137.33 Ba.upf
Pr 140.91 Pr.upf
Nd 144.24 Nd.upf
Te 127.60 Te.upf
ATOMIC_POSITIONS crystal
Ba 0.0000 0.0000 0.0000
Ba 0.0000 0.5000 0.0000
Ba 0.5000 0.5000 0.0000
Pr 0.5000 0.0000 0.5000
Pr 0.5000 0.5000 0.5000
Pr 0.0000 0.5000 0.5000
Nd 0.0000 0.0000 0.5000
Te 0.2576 0.5153 0.2729
Te 0.7424 0.4847 0.7271
Te 0.7580 0.5159 0.2755
Te 0.2420 0.4841 0.7245
Te 0.7578 0.0175 0.2754
Te 0.2422 0.9825 0.7246
Te 0.2595 0.0175 0.2754
Te 0.7405 0.9825 0.7246
CELL_PARAMETERS angstrom
-2.9943 -8.5713 -1.7699
0.8903 2.8703 8.7424
-7.1872 3.6148 -5.3388
! Density of states at the Fermi level   4.29 states/eV per cell
! Uncorrected formation energy   -1.580 eV per atom
! Symmetry   C2/m, No. 12

# 7
! BaPrNd2Tl4 GGA-PBE optimized geometry; values from VASP
&SYSTEM
  ibrav = 0, nat = 8, ntyp = 4
/
ATOMIC_SPECIES
Ba 137.33 Ba.upf
Pr 140.91 Pr.upf
Nd 144.24 Nd.upf
Tl 204.38 Tl.upf
ATOMIC_POSITIONS crystal
Ba 0.0000 0.0000 0.0000
Pr 0.5000 0.5000 0.5000
Nd 0.7487 0.7487 0.7540
Nd 0.2513 0.2513 0.2460
Tl 0.3805 0.3805 0.8586
Tl 0.8714 0.8714 0.3859
Tl 0.1286 0.1286 0.6141
Tl 0.6195 0.6195 0.1414
CELL_PARAMETERS angstrom
-2.9743 -3.1540 3.6380
-0.2690 -5.6117 -0.6830
6.4732 -3.9294 6.2878
! Density of states at the Fermi level   7.09 states/eV per cell
! E_form   -0.33 eV per atom
! Symmetry   R-3m, No. 166

# 8
! BaNdPt2 GGA-PBE optimized geometry; values from VASP
&SYSTEM
  ibrav = 0, nat = 4, ntyp = 3
/
ATOMIC_SPECIES
Nd 144.24 Nd.upf
Ba 137.33 Ba.upf
Pt 195.08 Pt.upf
ATOMIC_POSITIONS crystal
Nd 0.0000 0.0000 0.0000
Ba 0.5000 0.5000 0.5000
Pt 0.2500 0.2500 0.2500
Pt 0.7500 0.7500 0.7500
CELL_PARAMETERS angstrom
5.2585 0.0000 0.0000
2.6293 4.5540 0.0000
2.6293 1.5180 4.2936
! Density of states at the Fermi level   1.16 states/eV per cell
! E_form   -0.77 eV per atom
! Symmetry   Fm-3m, No. 225
! Energy above the lowest structure with this stoichiometry   0.133 eV per atom

# 9
! BaNdPt4 GGA-PBE optimized geometry; values from VASP
&SYSTEM
  ibrav = 0, nat = 6, ntyp = 3
/
ATOMIC_SPECIES
Nd 144.24 Nd.upf
Ba 137.33 Ba.upf
Pt 195.08 Pt.upf
ATOMIC_POSITIONS crystal
Nd 0.2500 0.2500 0.2500
Ba 0.0000 0.0000 0.0000
Pt 0.6247 0.6247 0.1260
Pt 0.6247 0.1260 0.6247
Pt 0.6247 0.6247 0.6247
Pt 0.1260 0.6247 0.6247
CELL_PARAMETERS angstrom
5.6097 0.0000 0.0000
2.8049 4.8582 0.0000
2.8049 1.6194 4.5803
! Density of states at the Fermi level   4.37 states/eV per cell
! E_form   -0.85 eV per atom
! Symmetry   F-43m, No. 216

# 10
! Ba2NdPt GGA-PBE optimized geometry; values from VASP
&SYSTEM
  ibrav = 0, nat = 4, ntyp = 3
/
ATOMIC_SPECIES
Nd 144.24 Nd.upf
Ba 137.33 Ba.upf
Pt 195.08 Pt.upf
ATOMIC_POSITIONS crystal
Nd 0.0000 0.0000 0.0000
Ba 0.1113 0.1113 0.6661
Ba 0.8887 0.8887 0.3339
Pt 0.5000 0.5000 0.5000
CELL_PARAMETERS angstrom
4.1731 0.0000 0.0000
2.0866 3.6140 0.0000
2.0866 1.2047 11.6309
! Density of states at the Fermi level   4.50 states/eV per cell
! E_form   -0.09 eV per atom
! Symmetry   R-3m, No. 166

# 11
! BaNd2Pt9 GGA-PBE optimized geometry; values from VASP
&SYSTEM
  ibrav = 0, nat = 12, ntyp = 3
/
ATOMIC_SPECIES
Ba 137.33 Ba.upf
Nd 144.24 Nd.upf
Pt 195.08 Pt.upf
ATOMIC_POSITIONS crystal
Ba 0.0000 0.0000 0.0000
Nd 0.8602 0.8602 0.4194
Nd 0.1398 0.1398 0.5806
Pt 0.6682 0.6682 0.9954
Pt 0.3318 0.3318 0.0046
Pt 0.5000 0.5000 0.5000
Pt 0.4126 0.4126 0.2563
Pt 0.9186 0.4126 0.2563
Pt 0.4126 0.9186 0.2563
Pt 0.5874 0.5874 0.7437
Pt 0.5874 0.0814 0.7437
Pt 0.0814 0.5874 0.7437
CELL_PARAMETERS angstrom
-5.3922 0.4517 -1.3011
-3.3762 -4.3878 0.5663
-4.7259 1.1501 8.0824
! Density of states at the Fermi level   7.77 states/eV per cell
! E_form   -0.82 eV per atom
! Symmetry   R-3m, No. 166

# 12
! BaNdPt2 GGA-PBE optimized geometry; values from VASP
&SYSTEM
  ibrav = 0, nat = 4, ntyp = 3
/
ATOMIC_SPECIES
Ba 137.33 Ba.upf
Nd 144.24 Nd.upf
Pt 195.08 Pt.upf
ATOMIC_POSITIONS crystal
Ba 0.5000 0.0000 0.0000
Nd 0.0000 0.5000 0.5000
Pt 0.7386 0.2383 0.2846
Pt 0.2614 0.7617 0.7154
CELL_PARAMETERS angstrom
4.3553 0.0000 0.0000
2.1776 3.7759 -0.0045
2.1776 1.2690 7.2160
! Density of states at the Fermi level   2.39 states/eV per cell
! E_form   -0.84 eV per atom
! Symmetry   R-3m, No. 166
! Energy above the lowest structure with this stoichiometry   0.058 eV per atom

no.,total moment (μB per atom)
1,0.000
2,0.000
3,0.000
4,0.000
5,0.000
6,0.000
7,0.000
8,0.000
9,0.000
10,0.116
11,0.000
12,0.000